Compound: PuCd3Hg
Source: Alexandria
Functional: PBE
Structure: relaxed

Calculated values
symmetry: Pmma (51)
distance to the lowest polymorph of the same formula: 0.000 eV/atom
N(E_F): 9.53 states/eV/f.u.
energy relative to the elements: -0.065 eV/atom

a b c (Å): 3.1315 5.3414 14.2442
angles (deg): 90.00 90.00 90.00
With the nearest neighbours (Å) after each atom.
Positions (direct):
Pu  0.0000  0.2500  0.1560  2 Pu 3.13, 2 Hg 3.31, 10 Cd 3.34-3.44
Pu  0.0000  0.7500  0.8440  2 Pu 3.13, 2 Hg 3.31, 10 Cd 3.34-3.44
Cd  0.0000  0.2500  0.5534  6 Cd 3.07-3.13, 6 Hg 3.16-3.33
Cd  0.0000  0.7500  0.4466  6 Cd 3.07-3.13, 6 Hg 3.16-3.33
Cd  0.5000  0.2500  0.9488  5 Cd 2.95-3.13
Cd  0.5000  0.7500  0.0512  5 Cd 2.95-3.13
Cd  0.5000  0.2500  0.7418  5 Cd 2.95-3.13, 2 Hg 3.05
Cd  0.5000  0.7500  0.2582  5 Cd 2.95-3.13, 2 Hg 3.05
Hg  0.5000  0.7500  0.6390  8 Cd 3.05-3.33, 2 Hg 3.13, 2 Pu 3.31
Hg  0.5000  0.2500  0.3610  8 Cd 3.05-3.33, 2 Hg 3.13, 2 Pu 3.31

=====

Compound: Zr3SiAu
Source: Alexandria
Functional: PBE
Structure: relaxed

Calculated values
symmetry: Pm-3m (221)
distance to the lowest polymorph of the same formula: 0.000 eV/atom
raw formation energy: 0.079 eV per atom
N(E_F): 4.14 states/eV/f.u.

a b c (Å): 4.9005 4.9005 4.9005
angles (deg): 90.00 90.00 90.00
With the nearest neighbours (Å) after each atom.
Positions (direct):
Si  0.0000  0.0000  0.0000  6 Zr 2.45
Au  0.5000  0.5000  0.5000  12 Zr 3.47
Zr  0.0000  0.5000  0.0000  2 Si 2.45
Zr  0.0000  0.0000  0.5000  2 Si 2.45
Zr  0.5000  0.0000  0.0000  2 Si 2.45